No. 1
DFT (GGA-PBE) results for a geometry-optimized Bi2Se2O structure.

* polymorph energy (0 for the lowest one): 35 meV per atom
* formation energy (no corrections): -596 meV per atom

abc: 7.1396 11.6095 5.8848
angles: 90.00 90.00 90.00
With the nearest neighbours (Å) after each atom.
Space group Ibam (No. 72)
One atom of each set of equivalent atoms:
Bi 0.2168 0.0919 0.0000 x8  2 O 2.39
Se 0.1463 0.3645 0.0000 x8  4 Bi 2.81-3.14
O 0.0000 0.0000 0.2500 x4  4 Bi 2.39


No. 2
DFT (GGA-PBE) results for a geometry-optimized Pr6NdPd3 structure.

* density of states at the Fermi level: 1.157 states/eV/atom
* calculated total energy: -212.60 eV per cell

abc: 12.0028 13.6495 7.4534
angles: 90.00 90.00 90.00
With the nearest neighbours (Å) after each atom.
Space group Cmc2_1 (No. 36)
One atom of each set of equivalent atoms:
Pr 0.0000 0.0375 0.0000 x4  4 Pd 3.19-3.24
Pr 0.0000 0.2326 0.3599 x4  3 Pd 2.91-2.94
Pr 0.1710 0.4575 0.5130 x8  4 Pd 2.87-3.03
Pr 0.2257 0.1953 0.6674 x8  2 Pd 3.10-3.25
Nd 0.0000 0.3246 0.8821 x4  1 Pd 2.90
Pd 0.0000 0.4316 0.2182 x4  1 Nd 2.90, 5 Pr 2.91-3.03
Pd 0.1827 0.0931 0.3027 x8  5 Pr 2.87-3.19


No. 3
DFT (GGA-PBE) results for a geometry-optimized CrTc2Pb structure.

* density of states at the Fermi level: 0.893 states/eV/atom
* polymorph energy (0 for the lowest one): 92 meV per atom

abc: 2.9512 3.9730 5.7464
angles: 90.00 99.42 90.00
With the nearest neighbours (Å) after each atom.
Space group P2/m (No. 10)
One atom of each set of equivalent atoms:
Cr 0.0000 0.0000 0.0000 x1  4 Tc 2.48
Tc 0.3765 0.5000 0.2040 x2  2 Cr 2.48, 1 Tc 2.57
Pb 0.0000 0.0000 0.5000 x1  2 Cr 2.87, 8 Tc 2.95-3.03, 2 Pb 2.95


No. 4
DFT (GGA-PBE) results for a geometry-optimized GdCdAu4 structure.

* density of states at the Fermi level: 0.857 states/eV/atom
* calculated total energy: -123.11 eV per cell

abc: 7.9214 7.9214 7.9214
angles: 90.00 90.00 90.00
With the nearest neighbours (Å) after each atom.
Space group F-43m (No. 216)
One atom of each set of equivalent atoms:
Gd 0.0000 0.0000 0.0000 x4  12 Au 3.28, 4 Cd 3.43
Cd 0.2500 0.2500 0.7500 x4  12 Au 3.28, 4 Gd 3.43
Au 0.1247 0.1247 0.3753 x16  6 Au 2.79-2.81


No. 5
DFT (GGA-PBE) results for a geometry-optimized Ce2PmBr6 structure.

* density of states at the Fermi level: 1.396 states/eV/atom
* polymorph energy (0 for the lowest one): 10 meV per atom
* formation energy (no corrections): -1614 meV per atom

abc: 14.8491 3.9187 12.3340
angles: 90.00 115.60 90.00
With the nearest neighbours (Å) after each atom.
Space group C2/m (No. 12)
One atom of each set of equivalent atoms:
Ce 0.1829 0.0000 0.3035 x4  7 Br 3.05-3.10
Pm 0.0000 0.5000 0.0000 x2  4 Br 2.92-2.93
Br 0.0108 0.5000 0.2425 x4  1 Pm 2.93, 2 Ce 3.05
Br 0.1559 0.0000 0.5387 x4  3 Ce 3.05-3.10
Br 0.2172 0.5000 0.1331 x4  1 Pm 2.92, 2 Ce 3.07


No. 6
DFT (GGA-PBE) results for a geometry-optimized NaPaMnN3 structure.

* density of states at the Fermi level: 0.145 states/eV/atom
* formation energy (no corrections): -882 meV per atom

abc: 12.9906 3.7257 6.9430
angles: 90.00 104.79 90.00
With the nearest neighbours (Å) after each atom.
Space group C2/m (No. 12)
One atom of each set of equivalent atoms:
Na 0.1496 0.0000 0.0721 x4  7 N 2.55-2.85
Pa 0.1504 0.0000 0.5871 x4  7 N 2.31-2.41
Mn 0.0051 0.5000 0.2636 x4  4 N 1.88-2.06
N 0.0081 0.0000 0.2985 x4  2 Mn 1.88
N 0.1488 0.5000 0.7860 x4  1 Mn 1.94
N 0.1679 0.5000 0.3787 x4  1 Mn 2.06


No. 7
DFT (GGA-PBE) results for a geometry-optimized UGa3Ni3 structure.

* density of states at the Fermi level: 1.136 states/eV/atom
* polymorph energy (0 for the lowest one): 0 meV per atom

abc: 7.4231 7.4231 14.5764
angles: 90.00 90.00 120.00
With the nearest neighbours (Å) after each atom.
Space group R-3 (No. 148, hexagonal axes)
One atom of each set of equivalent atoms:
U 0.0000 0.0000 0.1742 x6  6 Ni 2.69-2.75
Ga 0.0138 0.3092 0.6262 x18  4 Ni 2.41-2.56
Ni 0.0006 0.2929 0.4542 x18  4 Ga 2.41-2.56, 2 Ni 2.55, 1 U 2.69


No. 8
DFT (GGA-PBE) results for a geometry-optimized Cs2BeSeI6 structure.

* density of states at the Fermi level: 0.000 states/eV/atom
* formation energy (no corrections): -695 meV per atom

abc: 8.8461 8.8461 11.7544
angles: 90.00 90.00 90.00
With the nearest neighbours (Å) after each atom.
Space group I4/mmm (No. 139)
One atom of each set of equivalent atoms:
Cs 0.0000 0.5000 0.2500 x4  12 I 4.30-4.48
Be 0.0000 0.0000 0.0000 x2  2 I 2.23
Se 0.0000 0.0000 0.5000 x2  4 I 2.83
I 0.0000 0.0000 0.1894 x4  1 Be 2.23
I 0.2259 0.2259 0.5000 x8  1 Se 2.83


No. 9
DFT (GGA-PBE) results for a geometry-optimized Er2CoC2 structure.

* density of states at the Fermi level: 0.462 states/eV/atom
* polymorph energy (0 for the lowest one): 117 meV per atom

abc: 10.7157 3.3308 9.0995
angles: 90.00 119.09 90.00
With the nearest neighbours (Å) after each atom.
Space group C2/m (No. 12)
One atom of each set of equivalent atoms:
Er 0.0157 0.0000 0.1698 x4  2 C 2.38
Er 0.1544 0.0000 0.6001 x4  3 C 2.43-2.59
Co 0.2261 0.5000 0.8901 x4  4 C 1.92-2.06
C 0.0300 0.5000 0.6755 x4  1 Co 2.06
C 0.1744 0.5000 0.0782 x4  3 Co 1.92-2.04


No. 10
DFT (GGA-PBE) results for a geometry-optimized Li8CdO6 structure.

* density of states at the Fermi level: 0.144 states/eV/atom
* formation energy (no corrections): -1523 meV per atom

abc: 5.6030 5.6030 15.7233
angles: 90.00 90.00 120.00
With the nearest neighbours (Å) after each atom.
Space group R-3 (No. 148, hexagonal axes)
One atom of each set of equivalent atoms:
Li 0.0000 0.0000 0.1533 x6  3 O 2.15
Li 0.0081 0.3156 0.7144 x18  4 O 1.91-2.04
Cd 0.0000 0.0000 0.5000 x3  6 O 2.25
O 0.0027 0.3506 0.2514 x18  4 Li 1.91-2.04